[1]
VASP calculation (GGA-PBE) on a geometry-optimized LaPrO2 structure.

a = 3.632 Å, b = 3.632 Å, c = 6.263 Å
α = 73.14°, β = 73.14°, γ = 60.00°
Fractional coordinates of all 4 atoms:
O 0.750 0.750 0.750
O 0.250 0.250 0.250
Pr 0.500 0.500 0.500
La 0.000 0.000 0.000

Results
The uncorrected formation energy is -2.78 eV/atom. The value obtained for the excess energy over the best structure of this formula in the dataset is 0.00 eV/f.u. The space group is R-3m.

[2]
VASP calculation (GGA-PBE) on a geometry-optimized Ba2ErZn2O6 structure.

a = 6.101 Å, b = 6.101 Å, c = 6.812 Å
α = 63.39°, β = 63.39°, γ = 60.00°
Last column: magnetic moment on the atom in μB.
Fractional coordinates of all 11 atoms:
O 0.243 0.243 0.742  0.14
O 0.243 0.772 0.742  0.14
O 0.757 0.757 0.258  0.14
O 0.757 0.228 0.258  0.14
O 0.772 0.243 0.742  0.14
O 0.228 0.757 0.258  0.14
Zn 0.580 0.580 0.261  0.06
Zn 0.420 0.420 0.739  0.06
Ba 0.788 0.788 0.636  0.00
Ba 0.212 0.212 0.364  0.00
Er 0.000 0.000 0.000  -0.01

Results
The uncorrected formation energy is -2.17 eV/atom. The space group is R-3m.

[3]
VASP calculation (GGA-PBE) on a geometry-optimized Co3NiGe6 structure.

a = 6.358 Å, b = 5.826 Å, c = 8.010 Å
α = 90.00°, β = 99.87°, γ = 90.00°
Fractional coordinates of all 20 atoms:
Ge 0.327 0.866 0.434
Ge 0.173 0.366 0.066
Ge 0.847 0.669 0.603
Ge 0.153 0.331 0.397
Ge 0.696 0.512 0.271
Ge 0.673 0.134 0.566
Ge 0.827 0.634 0.934
Ge 0.347 0.831 0.103
Ge 0.653 0.169 0.897
Ge 0.196 0.988 0.771
Ge 0.304 0.488 0.729
Ge 0.804 0.012 0.229
Ni 0.500 0.500 0.500
Ni 0.000 0.000 0.000
Co 0.500 0.500 0.000
Co 0.477 0.174 0.263
Co 0.000 0.000 0.500
Co 0.977 0.326 0.763
Co 0.023 0.674 0.237
Co 0.523 0.826 0.737

Results
The space group is P2_1/c. The calculated formation energy comes out at -100 kJ/mol of formula units.

[4]
VASP calculation (GGA-PBE) on a geometry-optimized BePtW structure.

a = 4.724 Å, b = 3.307 Å, c = 5.740 Å
α = 89.99°, β = 80.66°, γ = 69.48°
Fractional coordinates of all 6 atoms:
Be 0.109 0.375 0.149
Be 0.658 0.100 0.511
W 0.409 0.724 0.854
W 0.035 0.411 0.694
Pt 0.316 0.771 0.354
Pt 0.766 0.047 0.086

Results
The value obtained for the excess energy over the best structure of this formula in the dataset is 0.53 eV/f.u. The space group is Cm. The calculated formation energy comes out at -47 kJ/mol of formula units.

[5]
VASP calculation (GGA-PBE) on a geometry-optimized LaReNO2 structure.

a = 4.045 Å, b = 4.045 Å, c = 3.909 Å
α = 90.00°, β = 90.00°, γ = 90.00°
Fractional coordinates of all 5 atoms:
O 0.500 0.000 0.000
O 0.000 0.500 0.000
Re 0.000 0.000 0.000
La 0.500 0.500 0.500
N 0.000 0.000 0.500

Results
The uncorrected formation energy is -1.64 eV/atom. The space group is P4/mmm.

[6]
VASP calculation (GGA-PBE) on a geometry-optimized Ac5Ge2Te2 structure.

a = 8.754 Å, b = 8.647 Å, c = 9.416 Å
α = 117.34°, β = 90.00°, γ = 90.00°
Fractional coordinates of all 18 atoms:
Ac 0.000 0.000 0.000
Ac 0.658 0.032 0.747
Ac 0.342 0.715 0.747
Ac 0.342 0.968 0.253
Ac 0.500 0.500 0.000
Ac 0.158 0.468 0.253
Ac 0.158 0.215 0.747
Ac 0.842 0.785 0.253
Ac 0.842 0.532 0.747
Ac 0.658 0.285 0.253
Te 0.000 0.201 0.402
Te 0.000 0.799 0.598
Te 0.500 0.701 0.402
Te 0.500 0.299 0.598
Ge 0.355 0.147 0.000
Ge 0.855 0.353 0.000
Ge 0.645 0.853 0.000
Ge 0.145 0.647 0.000

Results
The uncorrected formation energy is -1.00 eV/atom. The space group is Cmce.

[7]
VASP calculation (GGA-PBE) on a geometry-optimized HgAsPb2 structure.

a = 6.950 Å, b = 6.950 Å, c = 7.889 Å
α = 63.86°, β = 63.86°, γ = 90.00°
Fractional coordinates of all 8 atoms:
Pb 0.606 0.125 0.250
Pb 0.875 0.856 0.750
Pb 0.375 0.394 0.750
Pb 0.144 0.625 0.250
Hg 0.750 0.250 0.500
Hg 0.000 0.000 0.000
As 0.250 0.750 0.500
As 0.500 0.500 0.000

Results
The value obtained for the excess energy over the best structure of this formula in the dataset is 0.54 eV/f.u. The space group is I-42d. The calculated formation energy comes out at 51 kJ/mol of formula units.

[8]
VASP calculation (GGA-PBE) on a geometry-optimized BaCu4 structure.

a = 5.656 Å, b = 5.656 Å, c = 5.656 Å
α = 109.47°, β = 109.47°, γ = 109.47°
Fractional coordinates of all 5 atoms:
Cu 0.500 0.000 0.000
Cu 0.000 0.500 0.000
Cu 0.000 0.000 0.500
Cu 0.500 0.500 0.500
Ba 0.000 0.000 0.000

Results
The space group is Im-3m. The calculated formation energy comes out at 638 kJ/mol of formula units.

[9]
VASP calculation (GGA-PBE) on a geometry-optimized OsRu2S structure.

a = 6.524 Å, b = 2.774 Å, c = 7.994 Å
α = 90.00°, β = 116.94°, γ = 90.00°
Fractional coordinates of all 8 atoms:
Ru 0.168 0.000 0.416
Ru 0.785 0.500 0.294
Ru 0.168 0.500 0.916
Ru 0.785 0.000 0.794
Os 0.593 0.500 0.488
Os 0.593 0.000 0.988
S 0.244 0.000 0.724
S 0.244 0.500 0.224

Results
The uncorrected formation energy is 0.37 eV/atom. The space group is Cm.

[10]
VASP calculation (GGA-PBE) on a geometry-optimized PaGa2Se6 structure.

a = 7.145 Å, b = 8.753 Å, c = 8.753 Å
α = 87.49°, β = 80.79°, γ = 80.79°
Last column: magnetic moment on the atom in μB.
Fractional coordinates of all 18 atoms:
Se 0.912 0.526 0.674  0.29
Se 0.339 0.391 0.906  0.02
Se 0.661 0.609 0.094  0.02
Se 0.630 0.952 0.808  0.01
Se 0.588 0.326 0.474  0.29
Se 0.870 0.192 0.048  0.01
Se 0.130 0.808 0.952  0.01
Se 0.412 0.674 0.526  0.29
Se 0.161 0.094 0.609  0.02
Se 0.839 0.906 0.391  0.02
Se 0.088 0.474 0.326  0.29
Se 0.370 0.048 0.192  0.01
Ga 0.804 0.397 0.246  0.00
Ga 0.196 0.603 0.754  0.00
Ga 0.696 0.754 0.603  0.00
Ga 0.304 0.246 0.397  0.00
Pa 0.750 0.895 0.105  0.04
Pa 0.250 0.105 0.895  0.04

Results
The uncorrected formation energy is -0.69 eV/atom. The space group is C2/c.

[11]
VASP calculation (GGA-PBE) on a geometry-optimized YThPd2 structure.

a = 3.573 Å, b = 5.074 Å, c = 5.074 Å
α = 90.00°, β = 90.00°, γ = 90.00°
Fractional coordinates of all 4 atoms:
Pd 0.000 0.000 0.500
Pd 0.000 0.500 0.000
Th 0.500 0.000 0.000
Y 0.500 0.500 0.500

Results
The value obtained for the excess energy over the best structure of this formula in the dataset is 0.36 eV/f.u. The space group is P4/mmm. The calculated formation energy comes out at -291 kJ/mol of formula units.

[12]
VASP calculation (GGA-PBE) on a geometry-optimized Ca2Ac6La structure.

a = 3.934 Å, b = 3.934 Å, c = 29.503 Å
α = 90.00°, β = 90.00°, γ = 120.00°
Fractional coordinates of all 9 atoms:
La 0.333 0.667 0.000
Ac 0.333 0.667 0.437
Ac 0.667 0.333 0.893
Ac 0.333 0.667 0.217
Ac 0.333 0.667 0.783
Ac 0.667 0.333 0.107
Ac 0.333 0.667 0.563
Ca 0.667 0.333 0.672
Ca 0.667 0.333 0.328

Results
The value obtained for the excess energy over the best structure of this formula in the dataset is 0.00 eV/f.u. The space group is P-6m2. The calculated formation energy comes out at 61 kJ/mol of formula units.

[13]
VASP calculation (GGA-PBE) on a geometry-optimized Fe3RuRh structure.

a = 4.416 Å, b = 4.416 Å, c = 4.416 Å
α = 90.00°, β = 90.00°, γ = 90.00°
Last column: magnetic moment on the atom in μB.
Fractional coordinates of all 5 atoms:
Rh 0.500 0.500 0.500  0.62
Fe 0.000 0.000 0.500  2.59
Fe 0.000 0.500 0.000  2.64
Fe 0.500 0.000 0.000  2.25
Ru 0.000 0.000 0.000  0.20

Results
The value obtained for the excess energy over the best structure of this formula in the dataset is 0.00 eV/f.u. The space group is Pm-3m. The calculated formation energy comes out at 722 kJ/mol of formula units.

[14]
VASP calculation (GGA-PBE) on a geometry-optimized BaHfAlCd2 structure.

a = 5.562 Å, b = 6.082 Å, c = 5.562 Å
α = 90.00°, β = 90.00°, γ = 90.00°
Last column: magnetic moment on the atom in μB.
Fractional coordinates of all 5 atoms:
Cd 0.500 0.000 0.000  0.03
Cd 0.000 0.000 0.500  0.01
Al 0.500 0.500 0.500  0.00
Hf 0.000 0.000 0.000  0.38
Ba 0.000 0.500 0.000  0.07

Results
The space group is P4/mmm. The calculated formation energy comes out at 460 kJ/mol of formula units.

[15]
VASP calculation (GGA-PBE) on a geometry-optimized Pr12Nd7Mg structure.

a = 10.181 Å, b = 10.181 Å, c = 10.181 Å
α = 109.47°, β = 109.47°, γ = 109.47°
Fractional coordinates of all 20 atoms:
Pr 0.245 0.999 0.754
Pr 0.491 0.246 0.245
Pr 0.246 0.755 0.001
Pr 0.755 0.001 0.246
Pr 0.509 0.754 0.755
Pr 0.754 0.755 0.509
Pr 0.001 0.246 0.755
Pr 0.754 0.245 0.999
Pr 0.245 0.491 0.246
Pr 0.999 0.754 0.245
Pr 0.755 0.509 0.754
Pr 0.246 0.245 0.491
Mg 0.000 0.000 0.000
Nd 0.000 0.500 0.500
Nd 0.000 0.000 0.500
Nd 0.500 0.500 0.000
Nd 0.000 0.500 0.000
Nd 0.500 0.000 0.000
Nd 0.500 0.000 0.500
Nd 0.500 0.500 0.500

Results
The value obtained for the excess energy over the best structure of this formula in the dataset is 8.37 eV/f.u. The space group is Im-3. The calculated formation energy comes out at 1147 kJ/mol of formula units.

[16]
VASP calculation (GGA-PBE) on a geometry-optimized CdSbRu2 structure.

a = 9.570 Å, b = 9.570 Å, c = 9.570 Å
α = 18.11°, β = 18.11°, γ = 18.11°
Fractional coordinates of all 4 atoms:
Ru 0.992 0.992 0.992
Ru 0.255 0.255 0.255
Sb 0.513 0.513 0.513
Cd 0.740 0.740 0.740

Results
The uncorrected formation energy is 0.38 eV/atom. The space group is R3m.

[17]
VASP calculation (GGA-PBE) on a geometry-optimized Tm10Hg3Bi3 structure.

a = 6.530 Å, b = 8.861 Å, c = 8.861 Å
α = 120.00°, β = 90.00°, γ = 90.00°
Fractional coordinates of all 16 atoms:
Tm 0.000 0.762 0.762
Tm 0.762 0.667 0.333
Tm 0.500 0.235 0.235
Tm 0.238 0.333 0.667
Tm 0.000 0.238 0.000
Tm 0.762 0.333 0.667
Tm 0.500 0.765 0.000
Tm 0.000 0.000 0.238
Tm 0.500 0.000 0.765
Tm 0.238 0.667 0.333
Bi 0.500 0.000 0.399
Bi 0.500 0.601 0.601
Bi 0.500 0.399 0.000
Hg 0.000 0.391 0.391
Hg 0.000 0.000 0.609
Hg 0.000 0.609 0.000

Results
The space group is P-62m. The calculated formation energy comes out at -743 kJ/mol of formula units.

[18]
VASP calculation (GGA-PBE) on a geometry-optimized B3AsPb structure.

a = 4.610 Å, b = 4.610 Å, c = 4.610 Å
α = 90.00°, β = 90.00°, γ = 90.00°
Fractional coordinates of all 5 atoms:
B 0.000 0.000 0.500
B 0.000 0.500 0.000
B 0.500 0.000 0.000
As 0.500 0.500 0.500
Pb 0.000 0.000 0.000

Results
The value obtained for the excess energy over the best structure of this formula in the dataset is 4.16 eV/f.u. The space group is Pm-3m. The calculated formation energy comes out at 1219 kJ/mol of formula units.

[19]
VASP calculation (GGA-PBE) on a geometry-optimized TmMg4Hg5 structure.

a = 3.583 Å, b = 3.583 Å, c = 17.150 Å
α = 90.00°, β = 90.00°, γ = 90.00°
Fractional coordinates of all 10 atoms:
Mg 0.000 0.000 0.793
Mg 0.000 0.000 0.207
Mg 0.000 0.000 0.597
Mg 0.000 0.000 0.403
Hg 0.500 0.500 0.500
Hg 0.500 0.500 0.891
Hg 0.500 0.500 0.696
Hg 0.500 0.500 0.304
Hg 0.500 0.500 0.109
Tm 0.000 0.000 0.000

Results
The space group is P4/mmm. The calculated formation energy comes out at -272 kJ/mol of formula units.

[20]
VASP calculation (GGA-PBE) on a geometry-optimized Pr2AgN structure.

a = 3.718 Å, b = 3.718 Å, c = 8.041 Å
α = 89.92°, β = 103.41°, γ = 120.09°
Fractional coordinates of all 4 atoms:
Pr 0.455 0.727 0.182
Pr 0.545 0.273 0.818
N 0.000 0.000 0.000
Ag 0.000 0.500 0.500

Results
The uncorrected formation energy is -0.65 eV/atom. The space group is R-3m.

[21]
VASP calculation (GGA-PBE) on a geometry-optimized Sr2As4PtRh3 structure.

a = 4.406 Å, b = 4.406 Å, c = 10.039 Å
α = 90.00°, β = 90.00°, γ = 90.00°
Fractional coordinates of all 10 atoms:
Pt 0.500 0.500 0.500
Sr 0.000 0.500 0.756
Sr 0.500 0.000 0.244
As 0.000 0.000 0.000
As 0.000 0.500 0.367
As 0.500 0.000 0.633
As 0.500 0.500 0.000
Rh 0.000 0.000 0.500
Rh 0.000 0.500 0.119
Rh 0.500 0.000 0.881

Results
The space group is P-4m2. The calculated formation energy comes out at -731 kJ/mol of formula units.

[22]
VASP calculation (GGA-PBE) on a geometry-optimized Co2AsRh structure.

a = 2.805 Å, b = 3.641 Å, c = 5.078 Å
α = 90.00°, β = 90.00°, γ = 90.00°
Last column: magnetic moment on the atom in μB.
Fractional coordinates of all 4 atoms:
Rh 0.500 0.500 0.250  0.61
Co 0.000 0.000 0.503  1.50
Co 0.000 0.000 0.997  1.50
As 0.500 0.500 0.750  0.00

Results
The space group is Pmmm. The calculated formation energy comes out at 27 kJ/mol of formula units.

[23]
VASP calculation (GGA-PBE) on a geometry-optimized AcInHgTe structure.

a = 5.578 Å, b = 5.578 Å, c = 5.578 Å
α = 60.00°, β = 60.00°, γ = 60.00°
Fractional coordinates of all 4 atoms:
Hg 0.750 0.750 0.750
In 0.000 0.000 0.000
Te 0.250 0.250 0.250
Ac 0.500 0.500 0.500

Results
The uncorrected formation energy is -0.60 eV/atom. The space group is F-43m.